#A
A relaxed MnCdP2S crystal. Source: Alexandria, functional PBE-GGA.

a b c (Å): 4.2027 4.2027 5.3962
angles (deg): 90.00 90.00 90.00
Each line ends with the local moment (μB).
Fractional coordinates of all 5 atoms:
S 0.0000 0.0000 0.5000  -0.02
P 0.5000 0.0000 0.0000  -0.02
Mn 0.0000 0.0000 0.0000  0.31
Cd 0.5000 0.5000 0.5000  0.00
P 0.0000 0.5000 0.0000  -0.02

Calculated values
* space group: P4/mmm, No. 123
* spin magnetization: 0.24 Bohr magnetons per cell



#B
A relaxed MnCdP2S crystal. Source: Alexandria, functional PBE-GGA.

a b c (Å): 4.9256 4.9256 5.0143
angles (deg): 90.00 90.00 90.00
Each line ends with the local moment (μB).
Fractional coordinates of all 5 atoms:
P 0.0000 0.5000 0.0000  -0.30
Mn 0.5000 0.5000 0.5000  4.44
Cd 0.0000 0.0000 0.0000  -0.01
S 0.0000 0.0000 0.5000  -0.15
P 0.5000 0.0000 0.0000  -0.30

Calculated values
* space group: P4/mmm, No. 123
* spin magnetization: 3.35 Bohr magnetons per cell



Most stable structure - #A; separation to the second - 937 meV/atom.